# 1
PdS2O (PBE-GGA, optimized geometry); calculated volume = 16.88 A^3/atom; ΔE_f (raw) = 0.386 eV per atom
1.0
-1.380 -3.160 -3.359
2.408 -3.485 2.288
-4.248 -4.562 2.587
S Pd O
4 2 2
direct
0.161 0.625 0.250 S
0.589 0.125 0.250 S
0.875 0.839 0.750 S
0.375 0.411 0.750 S
0.000 0.000 0.000 Pd
0.750 0.250 0.500 Pd
0.250 0.750 0.500 O
0.500 0.500 0.000 O

=====

# 2
AlAgSn (PBE-GGA, optimized geometry); ΔH_f (0 K) = 6.8 kJ per mole of atoms; calculated volume = 20.77 A^3/atom
1.0
-0.493 2.262 -2.415
1.208 -3.025 -0.762
-5.989 -2.184 -0.823
Ag Al Sn
1 1 1
direct
0.333 0.667 0.645 Ag
0.667 0.333 0.352 Al
0.000 0.000 0.003 Sn

=====

# 3
MgMoPt (PBE-GGA, optimized geometry); ΔH_f (0 K) = -29.2 kJ per mole of atoms; calculated volume = 16.47 A^3/atom
1.0
-1.682 2.384 0.431
-3.652 -2.692 0.639
-0.378 -1.620 7.482
Pt Mo Mg
2 2 2
direct
0.354 0.839 0.912 Pt
0.354 0.141 0.309 Pt
0.854 0.808 0.611 Mo
0.354 0.365 0.611 Mo
0.854 0.303 0.976 Mg
0.854 0.669 0.245 Mg

=====

# 4
KRb4Na2 (PBE-GGA, optimized geometry); ΔH_f (0 K) = 8.2 kJ per mole of atoms; calculated volume = 78.53 A^3/atom
1.0
-1.114 7.190 1.245
-4.286 2.153 5.610
7.498 3.340 9.302
Rb Na K
4 2 1
direct
0.225 0.225 0.326 Rb
0.386 0.386 0.842 Rb
0.775 0.775 0.674 Rb
0.614 0.614 0.158 Rb
0.109 0.109 0.672 Na
0.891 0.891 0.328 Na
0.000 0.000 0.000 K

=====

# 5
NdCuSiNi6 (PBE-GGA, optimized geometry); calculated volume = 14.24 A^3/atom; ΔE_f (raw) = 0.044 eV per atom
1.0
-3.702 -4.432 -2.084
4.919 -5.627 3.230
-3.280 5.205 3.800
Ni Si Nd Cu
12 2 2 2
direct
0.000 0.250 0.001 Ni
0.075 0.368 0.757 Ni
0.075 0.889 0.757 Ni
0.925 0.111 0.243 Ni
0.000 0.750 0.999 Ni
0.420 0.170 0.840 Ni
0.682 0.889 0.757 Ni
0.318 0.111 0.243 Ni
0.580 0.830 0.160 Ni
0.925 0.632 0.243 Ni
0.318 0.632 0.243 Ni
0.682 0.368 0.757 Ni
0.500 0.500 0.000 Si
0.500 0.000 0.000 Si
0.285 0.535 0.570 Nd
0.715 0.465 0.430 Nd
0.000 0.000 0.500 Cu
0.500 0.000 0.500 Cu

=====

# 6
Ta2MnAl (PBE-GGA, optimized geometry); ΔH_f (0 K) = -4.4 kJ per mole of atoms; calculated volume = 16.27 A^3/atom
1.0
-3.715 2.164 2.510
-4.097 -2.828 -0.068
4.752 -0.951 1.138
Ta Mn Al
2 1 1
direct
0.500 0.500 0.000 Ta
0.000 0.000 0.000 Ta
0.750 0.250 0.500 Mn
0.250 0.750 0.500 Al

=====

# 7
TlZnSn4 (PBE-GGA, optimized geometry); ΔH_f (0 K) = 19.8 kJ per mole of atoms; calculated volume = 28.82 A^3/atom
1.0
6.254 0.000 0.000
3.127 5.416 0.000
3.127 1.805 5.106
Sn Zn Tl
4 1 1
direct
0.625 0.124 0.625 Sn
0.124 0.625 0.625 Sn
0.625 0.625 0.625 Sn
0.625 0.625 0.124 Sn
0.000 0.000 0.000 Zn
0.250 0.250 0.250 Tl

=====

# 8
Re2TeMo (PBE-GGA, optimized geometry); calculated volume = 16.52 A^3/atom; ΔE_f (raw) = 0.599 eV per atom
1.0
-1.634 1.603 4.856
1.913 -2.627 4.274
1.216 2.922 -4.336
Mo Re Te
1 2 1
direct
0.267 0.767 0.500 Mo
0.990 0.990 0.000 Re
0.740 0.240 0.500 Re
0.503 0.503 0.000 Te

=====

# 9
Ag4Se3 (PBE-GGA, optimized geometry); calculated volume = 21.02 A^3/atom; ΔE_f (raw) = 0.349 eV per atom
1.0
2.774 -4.804 0.000
2.774 4.804 0.000
0.000 0.000 5.521
Se Ag
3 4
direct
0.500 0.500 0.000 Se
0.000 0.500 0.000 Se
0.500 0.000 0.000 Se
0.000 0.000 0.260 Ag
0.333 0.667 0.500 Ag
0.000 0.000 0.740 Ag
0.667 0.333 0.500 Ag

=====

# 10
GdYSn (PBE-GGA, optimized geometry); ΔH_f (0 K) = -47.1 kJ per mole of atoms; calculated volume = 28.32 A^3/atom
1.0
-3.060 -2.055 1.715
-1.418 -0.964 -3.686
5.110 -2.757 0.996
Sn Gd Y
1 1 1
direct
0.615 0.615 0.230 Sn
0.273 0.273 0.546 Gd
0.962 0.962 0.924 Y

=====

# 11
ZnAs2RhBr (PBE-GGA, optimized geometry); calculated volume = 24.44 A^3/atom; ΔE_f (raw) = 0.374 eV per atom
1.0
4.765 0.000 0.000
0.000 4.765 0.000
0.000 0.000 5.381
Br Zn As Rh
1 1 2 1
direct
0.000 0.000 0.500 Br
0.500 0.500 0.500 Zn
0.500 0.000 0.000 As
0.000 0.500 0.000 As
0.000 0.000 0.000 Rh

=====

# 12
AcDyPtI (PBE-GGA, optimized geometry); calculated volume = 33.24 A^3/atom; ΔE_f (raw) = -1.149 eV per atom
1.0
4.304 0.000 0.000
-2.151 3.727 0.000
-2.152 -1.242 8.290
I Dy Ac Pt
1 1 1 1
direct
0.956 0.376 0.346 I
0.092 0.944 0.052 Dy
0.513 0.155 0.683 Ac
0.317 0.556 0.888 Pt

=====

no.,DFT total energy (Ry per atom)
1,-0.310
2,-0.254
3,-0.475
4,-0.074
5,-0.397
6,-0.676
7,-0.226
8,-0.670
9,-0.204
10,-0.637
11,-0.261
12,-0.384